VASP calculation (PBE-GGA) on a relaxed TaSnRh3 crystal.

Crystal system: cubic

Cell: 4.7162 4.7162 4.7162 Å, 90.00 90.00 90.00°
Element x y z (fractional)
Ta  0.0000  0.0000  0.0000
Sn  0.5000  0.5000  0.5000
Rh  0.0000  0.5000  0.5000
Rh  0.5000  0.0000  0.5000
Rh  0.5000  0.5000  0.0000


VASP calculation (PBE-GGA) on a relaxed TaSn2Rh crystal.

Crystal system: tetragonal

Cell: 10.0769 10.0769 10.0769 Å, 156.09 156.09 34.06°
Element x y z (fractional)
Ta  0.0000  0.0000  0.0000
Ta  0.7500  0.2500  0.5000
Sn  0.1340  0.6250  0.0090
Sn  0.3750  0.3840  0.5090
Sn  0.6160  0.1250  0.9910
Sn  0.8750  0.8660  0.4910
Rh  0.2500  0.7500  0.5000
Rh  0.5000  0.5000  0.0000


no.,VASP energy (eV/atom),magnetic moment (μB/f.u.)
1,-6.291,0.00
2,-6.497,0.00